# 1
16
Lattice="7.023 0.000 0.000 0.000 7.023 0.000 0.000 0.000 7.023" Properties=species:S:1:pos:R:3 comment="PmPrNiRu (PBE-GGA, relaxed)" density_g_cm3=8.5 sg="F-43m (216)" delta_e_f_ev_per_fu=-0.7 pbc="T T T"
Pm 0.000 0.000 0.000
Pm 0.000 3.512 3.512
Pm 3.512 0.000 3.512
Pm 3.512 3.512 0.000
Pr 0.000 0.000 3.512
Pr 0.000 3.512 0.000
Pr 3.512 0.000 0.000
Pr 3.512 3.512 3.512
Ni 1.756 1.756 1.756
Ni 1.756 5.268 5.268
Ni 5.268 1.756 5.268
Ni 5.268 5.268 1.756
Ru 1.756 1.756 5.268
Ru 1.756 5.268 1.756
Ru 5.268 1.756 1.756
Ru 5.268 5.268 5.268

# 2
5
Lattice="4.338 0.000 0.000 0.000 4.338 0.000 0.000 0.000 3.800" Properties=species:S:1:pos:R:3 comment="Nb2VZnN (PBE-GGA, relaxed)" density_g_cm3=7.3 raw_formation_energy_ev_per_atom=-0.4805 sg="P4/mmm (123)" pbc="T T T"
Nb 0.000 2.169 0.000
Nb 2.169 0.000 0.000
V 0.000 0.000 1.900
Zn 2.169 2.169 1.900
N 0.000 0.000 0.000

# 3
12
Lattice="3.535 0.000 0.000 -1.768 3.062 0.000 0.000 0.000 24.181" Properties=species:S:1:pos:R:3 comment="Sb2MoSe (PBE-GGA, relaxed)" density_g_cm3=8.0 raw_formation_energy_ev_per_atom=0.2046 sg="R-3m (166)" pbc="T T T"
Sb 0.000 0.000 5.916
Sb 0.000 0.000 18.265
Sb 0.000 2.041 10.204
Sb 0.000 2.041 22.036
Sb 1.768 1.021 2.144
Sb 1.768 1.021 13.976
Mo 0.000 0.000 12.090
Mo 0.000 2.041 4.030
Mo 1.768 1.021 20.150
Se 0.000 0.000 0.000
Se 0.000 2.041 16.120
Se 1.768 1.021 8.060

# 4
10
Lattice="4.837 0.000 0.000 0.000 7.452 0.000 -2.372 0.000 6.149" Properties=species:S:1:pos:R:3 comment="TbInAu3 (PBE-GGA, relaxed)" density_g_cm3=13.0 sg="P2_1/m (11)" delta_e_f_ev_per_fu=-2.7 pbc="T T T"
Tb 0.024 1.863 1.641
Tb 2.441 5.589 4.508
In -0.008 5.589 1.779
In 2.473 1.863 4.370
Au 0.024 3.790 4.002
Au 0.024 7.389 4.002
Au 0.070 1.863 6.048
Au 2.395 5.589 0.101
Au 2.442 0.064 2.147
Au 2.442 3.663 2.147

# 5
12
Lattice="5.962 -2.576 0.000 5.962 2.576 0.000 -3.881 0.000 11.403" Properties=species:S:1:pos:R:3 comment="Tb5Nd2In5 (PBE-GGA, relaxed)" density_g_cm3=7.9 sg="C2/m (12)" delta_e_f_ev_per_fu=-3.7 pbc="T T T"
Tb 0.000 0.000 0.000
Tb -1.454 0.000 8.881
Tb -0.145 0.000 5.752
Tb 8.187 0.000 5.651
Tb 9.496 0.000 2.522
Nd 2.222 0.000 8.478
Nd 5.820 0.000 2.925
In 1.835 0.000 3.202
In 3.785 0.000 0.388
In 4.021 0.000 5.701
In 4.258 0.000 11.015
In 6.207 0.000 8.201

# 6
8
Lattice="3.224 0.000 0.000 0.000 4.530 0.000 0.000 0.000 9.532" Properties=species:S:1:pos:R:3 comment="ScRe2Hg (PBE-GGA, relaxed)" density_g_cm3=14.7 sg="Cmmm (65)" delta_e_f_ev_per_fu=1.9 pbc="T T T"
Sc 0.000 0.000 0.000
Sc 1.612 2.265 0.000
Re 0.000 2.265 2.293
Re 0.000 2.265 7.239
Re 1.612 0.000 2.293
Re 1.612 0.000 7.239
Hg 0.000 0.000 4.766
Hg 1.612 2.265 4.766

# 7
10
Lattice="1.771 -13.948 0.000 1.771 13.948 0.000 0.000 0.000 4.793" Properties=species:S:1:pos:R:3 comment="PmTmAg3 (PBE-GGA, relaxed)" density_g_cm3=8.9 sg="Cmcm (63)" delta_e_f_ev_per_fu=-1.3 pbc="T T T"
Pm 1.771 11.837 3.594
Pm 1.771 -11.837 1.198
Tm 1.771 8.089 1.198
Tm 1.771 -8.089 3.594
Ag 1.771 5.024 1.198
Ag 1.771 3.432 3.594
Ag 1.771 0.675 3.594
Ag 1.771 -0.675 1.198
Ag 1.771 -3.432 1.198
Ag 1.771 -5.024 3.594

# 8
18
Lattice="1.952 -6.096 0.000 1.952 6.096 0.000 0.000 0.000 12.016" Properties=species:S:1:pos:R:3 comment="NdP3Ru5 (PBE-GGA, relaxed)" density_g_cm3=8.6 sg="Cmcm (63)" delta_e_f_ev_per_fu=-5.3 pbc="T T T"
Nd 1.952 4.140 9.012
Nd 1.952 -4.140 3.004
P 1.952 4.512 3.004
P 1.952 1.382 0.530
P 1.952 1.382 5.478
P 1.952 -1.382 6.538
P 1.952 -1.382 11.485
P 1.952 -4.512 9.012
Ru 0.000 0.000 0.000
Ru 0.000 0.000 6.008
Ru 1.952 3.588 0.888
Ru 1.952 3.588 5.120
Ru 1.952 0.692 7.775
Ru 1.952 0.692 10.249
Ru 1.952 -0.692 1.767
Ru 1.952 -0.692 4.241
Ru 1.952 -3.588 6.896
Ru 1.952 -3.588 11.127

What did we get for VASP energy? Answer: -6.316, -8.252, -5.435, -3.979, -4.173, -7.400, -3.819, -8.072 eV/atom, in the order shown.
What did we get for N(E_F)? Answer: 3.98, 4.09, 3.72, 2.11, 12.62, 4.04, 4.26, 6.00 states/eV/f.u., in the order shown.